Computed, not measured: Ac5PaIr4 after structural relaxation at the PBE level of DFT.

a = 18.6382 Å, b = 4.2862 Å, c = 8.3428 Å
α = 90.00°, β = 104.63°, γ = 90.00°
Last column: nearest neighbours and their distance in Å.
Space group C2/m (No. 12)
Unique sites:
Ac 0.0000 0.0000 0.0000 x2  4 Ir 3.11
Ac 0.1584 0.5000 0.8232 x4  3 Ir 2.91-2.92
Ac 0.1689 0.5000 0.3461 x4  4 Ir 2.97-3.12
Pa 0.0000 0.0000 0.5000 x2  6 Ir 2.86-2.87
Ir 0.0031 0.5000 0.2723 x4  2 Pa 2.87, 4 Ac 2.91-3.11
Ir 0.1587 0.0000 0.5861 x4  1 Pa 2.86, 5 Ac 2.92-3.12

Summary:
* magnetic moment: 0.013 μB per formula unit
* energy of formation from the pure elements: -641 meV/atom
* raw total energy: -7.185 eV/atom

---

Computed, not measured: MgBeFeSb after structural relaxation at the PBE level of DFT.

a = 6.1490 Å, b = 6.1490 Å, c = 6.1490 Å
α = 90.00°, β = 90.00°, γ = 90.00°
Last column: nearest neighbours and their distance in Å.
Space group F-43m (No. 216)
Unique sites:
Mg 0.0000 0.0000 0.0000 x4  4 Sb 2.66, 4 Be 2.66
Be 0.2500 0.2500 0.7500 x4  4 Fe 2.66, 4 Mg 2.66
Fe 0.0000 0.0000 0.5000 x4  4 Sb 2.66, 4 Be 2.66
Sb 0.2500 0.2500 0.2500 x4  4 Fe 2.66, 4 Mg 2.66

Summary:
* energy above the most stable polymorph in this dataset: 0.000 eV per atom
* magnetic moment: 0.022 μB per formula unit
* raw total energy: -4.041 eV/atom

---

Computed, not measured: Ho2Al4AgIr after structural relaxation at the PBE level of DFT.

a = 6.9592 Å, b = 4.2985 Å, c = 10.2702 Å
α = 90.00°, β = 90.00°, γ = 90.00°
Last column: nearest neighbours and their distance in Å.
Space group Amm2 (No. 38)
Unique sites:
Ho 0.0000 0.0000 0.0000 x2  3 Ag 2.93-3.08, 6 Al 3.12-3.26
Ho 0.5000 0.0000 0.1466 x2  3 Ir 2.90-3.10, 6 Al 3.06-3.23
Al 0.2026 0.0000 0.7137 x4  1 Ir 2.59, 2 Ag 2.67, 1 Al 2.82
Al 0.3102 0.0000 0.4339 x4  2 Ir 2.62, 1 Al 2.64, 1 Ag 2.65
Ag 0.0000 0.0000 0.2848 x2  6 Al 2.65-2.67, 1 Ho 2.93
Ir 0.5000 0.0000 0.8645 x2  6 Al 2.59-2.62

Summary:
* magnetic moment: 0.026 μB per formula unit
* raw total energy: -5.103 eV/atom